5
Lattice="4.388 0.000 0.000 0.000 4.388 0.000 0.000 0.000 4.388" Properties=species:S:1:pos:R:3 comment="Mg3ZnC (PBE, relaxed)" crystal_system=cubic dft_energy_ev_per_atom=-2.858 pbc="T T T"
Mg 0.000 0.000 2.194
Mg 0.000 2.194 0.000
Mg 2.194 0.000 0.000
C 0.000 0.000 0.000
Zn 2.194 2.194 2.194

=====

11
Lattice="0.685 3.365 -3.005 -0.869 -0.680 -4.427 -9.699 2.354 3.898" Properties=species:S:1:pos:R:3 comment="Li8Cd2Sn (PBE, relaxed)" crystal_system=trigonal dft_energy_ev_per_atom=-2.180 pbc="T T T"
Li -0.940 1.187 -2.349
Li -7.284 4.174 -3.913
Li -8.138 2.709 1.185
Li -5.324 1.772 0.775
Cd -6.319 2.978 -1.567
Sn 0.000 0.000 0.000
Li -4.559 3.266 -4.309
Li -8.943 3.851 -1.185
Cd -3.564 2.060 -1.966
Li -1.745 2.330 -4.718
Li -2.600 0.865 0.379

=====

8
Lattice="4.989 0.000 0.000 0.000 4.020 0.000 0.000 0.000 7.053" Properties=species:S:1:pos:R:3 comment="LuInFeNi (PBE, relaxed)" crystal_system=orthorhombic de_polymorph_mev_per_atom=94.4 dft_energy_ev_per_atom=-5.522 magnetic_moment_mub_per_atom=0.621 pbc="T T T"
Fe 1.247 0.000 4.173
Lu 3.742 0.000 5.510
Ni 0.000 2.010 3.527
Fe 3.742 0.000 2.881
Lu 1.247 0.000 1.543
In 3.742 2.010 1.015
In 1.247 2.010 6.038
Ni 2.494 2.010 3.527

=====

10
Lattice="2.521 1.455 4.127 -2.521 1.455 4.127 0.000 -2.911 4.127" Properties=species:S:1:pos:R:3 comment="Be3PtN (PBE, relaxed)" crystal_system=trigonal dft_energy_ev_per_atom=-5.525 magnetic_moment_mub_per_atom=0.000 pbc="T T T"
Pt 0.000 0.000 3.095
Be 1.257 0.733 5.159
Pt 0.000 0.000 9.286
N 0.000 0.000 0.000
Be 0.006 -1.455 5.159
Be -0.006 1.455 7.222
N 0.000 0.000 6.191
Be -1.257 -0.733 7.222
Be 1.263 -0.723 7.222
Be -1.263 0.723 5.159

=====

6
Lattice="3.986 0.000 0.000 0.000 3.986 0.000 0.000 0.000 11.279" Properties=species:S:1:pos:R:3 comment="BaSrCd4 (PBE, relaxed)" crystal_system=tetragonal de_polymorph_mev_per_atom=100.3 dft_energy_ev_per_atom=-1.446 pbc="T T T"
Sr 1.993 1.993 5.639
Ba 0.000 0.000 0.000
Cd 1.993 1.993 2.204
Cd 1.993 1.993 9.075
Cd 0.000 0.000 7.626
Cd 0.000 0.000 3.653

=====

4
Lattice="0.000 3.216 3.216 3.216 0.000 3.216 3.216 3.216 0.000" Properties=species:S:1:pos:R:3 comment="CdGaFeAg (PBE, relaxed)" crystal_system=cubic de_polymorph_mev_per_atom=0.0 dft_energy_ev_per_atom=-3.553 magnetic_moment_mub_per_atom=0.601 pbc="T T T"
Cd 3.216 3.216 3.216
Ag 1.608 1.608 1.608
Fe 4.824 4.824 4.824
Ga 0.000 0.000 0.000